(1)
VASP calculation (PBE) on Ac2H2RhO6 after structural relaxation.

Properties
DFT total energy: -71.6 eV/f.u.

Lattice parameters (Å, degrees): 5.9147 5.9147 5.9147 53.29 53.29 53.29
Element x y z (fractional)
Ac 0.2362 0.2362 0.2362
Ac 0.7638 0.7638 0.7638
H 0.4150 0.4150 0.4150
H 0.5850 0.5850 0.5850
Rh 0.0000 0.0000 0.0000
O 0.2560 0.2560 0.7363
O 0.2560 0.7363 0.2560
O 0.2637 0.7440 0.7440
O 0.7363 0.2560 0.2560
O 0.7440 0.2637 0.7440
O 0.7440 0.7440 0.2637

---

(2)
VASP calculation (PBE) on Ac2HRhO6 after structural relaxation.

Properties
DFT total energy: -66.3 eV/f.u.

Lattice parameters (Å, degrees): 5.6191 5.6191 5.5425 119.00 119.00 57.92
Element x y z (fractional)
Ac 0.2473 0.2473 0.2417
Ac 0.7527 0.7527 0.7583
H 0.5000 0.5000 0.0000
Rh 0.0000 0.0000 0.5000
O 0.2278 0.7170 0.2174
O 0.2398 0.2398 0.6898
O 0.2830 0.7722 0.7826
O 0.7170 0.2278 0.2174
O 0.7602 0.7602 0.3102
O 0.7722 0.2830 0.7826

---

(3)
VASP calculation (PBE) on AcHRuO6 after structural relaxation.

Properties
DFT total energy: -59.3 eV/f.u.

Lattice parameters (Å, degrees): 4.8371 5.2013 5.4356 61.87 89.53 88.26
Element x y z (fractional)
Ac 0.0000 0.0000 0.0000
H 0.7499 0.6046 0.7913
Ru 0.6140 0.2940 0.3565
O 0.3698 0.5894 0.1845
O 0.4406 0.0979 0.6769
O 0.4974 0.1155 0.1512
O 0.8364 0.5211 0.4487
O 0.8650 0.5309 0.9602
O 0.9239 0.0427 0.4480

---

(4)
VASP calculation (PBE) on AcHS2O8 after structural relaxation.

Properties
DFT total energy: -74.6 eV/f.u.

Lattice parameters (Å, degrees): 5.6331 5.6331 6.5024 115.51 115.51 51.08
Element x y z (fractional)
Ac 0.0000 0.0000 0.0000
H 0.5000 0.5000 0.5000
S 0.1886 0.1886 0.6724
S 0.8114 0.8114 0.3276
O 0.1284 0.6313 0.2782
O 0.1653 0.1653 0.4321
O 0.3533 0.3533 0.8402
O 0.3687 0.8716 0.7218
O 0.6313 0.1284 0.2782
O 0.6467 0.6467 0.1598
O 0.8347 0.8347 0.5679
O 0.8716 0.3687 0.7218

---

(5)
VASP calculation (PBE) on AcHSO after structural relaxation.

Properties
DFT total energy: -24.7 eV/f.u.

Lattice parameters (Å, degrees): 4.3350 4.3350 4.3436 90.00 90.00 120.00
Element x y z (fractional)
Ac 0.0000 0.0000 0.0000
H 0.3333 0.6667 0.3097
S 0.6667 0.3333 0.5475
O 0.3333 0.6667 0.0826

---

(6)
VASP calculation (PBE) on AcH6S2O2 after structural relaxation.

Properties
DFT total energy: -51.2 eV/f.u.

Lattice parameters (Å, degrees): 4.2907 4.7193 7.9805 94.22 90.05 116.91
Element x y z (fractional)
Ac 0.0000 0.0000 0.0000
H 0.1103 0.6116 0.3460
H 0.3444 0.6895 0.5372
H 0.4999 0.3878 0.6542
H 0.5001 0.6122 0.3458
H 0.6556 0.3105 0.4628
H 0.8897 0.3884 0.6540
S 0.2995 0.5981 0.7912
S 0.7005 0.4019 0.2088
O 0.3579 0.7176 0.4105
O 0.6421 0.2824 0.5895

---

(7)
VASP calculation (PBE) on Ac2SbHO after structural relaxation.

Properties
DFT total energy: -29.6 eV/f.u.

Lattice parameters (Å, degrees): 7.3433 7.3433 7.3433 146.66 146.66 47.87
Element x y z (fractional)
Ac 0.1462 0.1462 0.0000
Ac 0.8538 0.8538 0.0000
Sb 0.5000 0.5000 0.0000
H 0.7500 0.2500 0.5000
O 0.2500 0.7500 0.5000

---

(8)
VASP calculation (PBE) on Ac2SbHO6 after structural relaxation.

Properties
DFT total energy: -69.2 eV/f.u.

Lattice parameters (Å, degrees): 5.4645 5.9064 5.9343 63.73 65.01 62.56
Element x y z (fractional)
Ac 0.0000 0.0000 0.0000
Ac 0.4763 0.5579 0.5098
Sb 0.2368 0.2691 0.2479
H 0.8503 0.5740 0.9199
O 0.0383 0.5838 0.3812
O 0.0453 0.5490 0.9117
O 0.3686 0.0280 0.5639
O 0.4423 0.9607 0.0993
O 0.5484 0.4176 0.9865
O 0.8875 0.1758 0.3902

---

(9)
VASP calculation (PBE) on Ac2HSeO6 after structural relaxation.

Properties
DFT total energy: -65.2 eV/f.u.

Lattice parameters (Å, degrees): 5.6612 5.6612 4.0436 90.00 90.00 90.00
Element x y z (fractional)
Ac 0.0000 0.5000 0.0000
Ac 0.5000 0.0000 0.0000
H 0.0000 0.0000 0.3039
Se 0.5000 0.5000 0.5212
O 0.0000 0.0000 0.0609
O 0.2646 0.2646 0.5469
O 0.2646 0.7354 0.5469
O 0.5000 0.5000 0.0685
O 0.7354 0.2646 0.5469
O 0.7354 0.7354 0.5469

---

(10)
VASP calculation (PBE) on AcHSeO5 after structural relaxation.

Properties
DFT total energy: -47.3 eV/f.u.

Lattice parameters (Å, degrees): 6.7417 6.7417 4.7188 94.46 94.46 109.82
Element x y z (fractional)
Ac 0.1939 0.8061 0.7500
Ac 0.8061 0.1939 0.2500
H 0.0000 0.0000 0.0000
H 0.0000 0.0000 0.5000
Se 0.4271 0.5729 0.2500
Se 0.5729 0.4271 0.7500
O 0.0323 0.9677 0.2500
O 0.1661 0.5315 0.3286
O 0.3156 0.4320 0.8973
O 0.4320 0.3156 0.3973
O 0.4685 0.8339 0.1714
O 0.5315 0.1661 0.8286
O 0.5680 0.6844 0.6027
O 0.6844 0.5680 0.1027
O 0.8339 0.4685 0.6714
O 0.9677 0.0323 0.7500

---

(11)
VASP calculation (PBE) on AcHSe2O8 after structural relaxation.

Properties
DFT total energy: -66.9 eV/f.u.

Lattice parameters (Å, degrees): 5.8401 5.8401 6.6365 114.34 114.34 50.98
Element x y z (fractional)
Ac 0.0000 0.0000 0.0000
H 0.5000 0.5000 0.5000
Se 0.1877 0.1877 0.6652
Se 0.8123 0.8123 0.3348
O 0.1544 0.6321 0.2821
O 0.1747 0.1747 0.4063
O 0.3616 0.3616 0.8523
O 0.3679 0.8456 0.7179
O 0.6321 0.1544 0.2821
O 0.6384 0.6384 0.1477
O 0.8253 0.8253 0.5937
O 0.8456 0.3679 0.7179

---

Please write out number 3 again, unchanged.
VASP calculation (PBE) on AcHRuO6 after structural relaxation.

Properties
DFT total energy: -59.3 eV/f.u.

Lattice parameters (Å, degrees): 4.8371 5.2013 5.4356 61.87 89.53 88.26
Element x y z (fractional)
Ac 0.0000 0.0000 0.0000
H 0.7499 0.6046 0.7913
Ru 0.6140 0.2940 0.3565
O 0.3698 0.5894 0.1845
O 0.4406 0.0979 0.6769
O 0.4974 0.1155 0.1512
O 0.8364 0.5211 0.4487
O 0.8650 0.5309 0.9602
O 0.9239 0.0427 0.4480